# GGA-PBE Tb2Pr3Ho, relaxed
data_Tb2Pr3Ho
_space_group_name_H-M_alt 'P 1'
_space_group_IT_number 1
_space_group_name_Hall 'P 1'
_cell_length_a 7.2254
_cell_length_b 6.3042
_cell_length_c 12.9936
_cell_angle_alpha 71.15
_cell_angle_beta 46.56
_cell_angle_gamma 73.14
loop_
_atom_site_label
_atom_site_fract_x
_atom_site_fract_y
_atom_site_fract_z
_atom_site_occupancy
Pr1 0.8338 0.7497 0.5833 1
Pr2 0.8331 0.2496 0.0834 1
Ho1 0.0000 0.2502 0.7500 1
Ho2 0.0000 0.7498 0.2500 1
Pr3 0.1669 0.7504 0.9166 1
Tb1 0.6671 0.7501 0.9165 1
Tb2 0.3336 0.7501 0.5833 1
Pr4 0.5000 0.7499 0.2500 1
Tb3 0.3329 0.2499 0.0835 1
Pr5 0.5000 0.2501 0.7500 1
Tb4 0.6664 0.2499 0.4167 1
Pr6 0.1662 0.2503 0.4167 1
# Calculated formation energy in meV per atom: 15.2
# Crystal system: triclinic
# E_tot in eV per atom: -4.6809